Entry 1:
Entry from Alexandria via LeMat-Bulk: RbSrBi3 after structural relaxation (PBE).

```
data_RbSrBi3
_chemical_formula_sum 'Rb1 Sr1 Bi3'
_cell_length_a 6.105
_cell_length_b 6.105
_cell_length_c 6.105
_cell_angle_alpha 90.00
_cell_angle_beta 90.00
_cell_angle_gamma 90.00
_symmetry_space_group_name_H-M 'P m -3 m'
_symmetry_Int_Tables_number 221
_symmetry_space_group_name_Hall '-P 4 2 3'
loop_
_atom_site_label
_atom_site_type_symbol
_atom_site_fract_x
_atom_site_fract_y
_atom_site_fract_z
Rb1 Rb 0.000 0.000 0.000
Sr1 Sr 0.500 0.500 0.500
Bi1 Bi 0.000 0.000 0.500
```

Summary:
Magnetic moment = 0.00 μB/f.u.
ΔH_f (0 K) = 56 kJ/mol of atoms
Energy above the most stable polymorph in this dataset = 432.9 meV/atom
Raw total energy = -2.28 eV/atom

Entry 2:
Entry from Alexandria via LeMat-Bulk: RbSr3Bi after structural relaxation (PBE).

```
data_RbSr3Bi
_chemical_formula_sum 'Rb1 Sr3 Bi1'
_cell_length_a 6.413
_cell_length_b 6.413
_cell_length_c 6.413
_cell_angle_alpha 90.00
_cell_angle_beta 90.00
_cell_angle_gamma 90.00
_symmetry_space_group_name_H-M 'P m -3 m'
_symmetry_Int_Tables_number 221
_symmetry_space_group_name_Hall '-P 4 2 3'
loop_
_atom_site_label
_atom_site_type_symbol
_atom_site_fract_x
_atom_site_fract_y
_atom_site_fract_z
Rb1 Rb 0.000 0.000 0.000
Sr1 Sr 0.000 0.000 0.500
Bi1 Bi 0.500 0.500 0.500
```

Summary:
Magnetic moment = 2.00 μB/f.u.
ΔH_f (0 K) = 75 kJ/mol of atoms
Raw total energy = -1.20 eV/atom

Entry 3:
Entry from Alexandria via LeMat-Bulk: Rb3SrBi after structural relaxation (PBE).

```
data_Rb3SrBi
_chemical_formula_sum 'Rb3 Sr1 Bi1'
_cell_length_a 7.374
_cell_length_b 7.374
_cell_length_c 7.374
_cell_angle_alpha 90.00
_cell_angle_beta 90.00
_cell_angle_gamma 90.00
_symmetry_space_group_name_H-M 'P m -3 m'
_symmetry_Int_Tables_number 221
_symmetry_space_group_name_Hall '-P 4 2 3'
loop_
_atom_site_label
_atom_site_type_symbol
_atom_site_fract_x
_atom_site_fract_y
_atom_site_fract_z
Rb1 Rb 0.000 0.000 0.500
Sr1 Sr 0.000 0.000 0.000
Bi1 Bi 0.500 0.500 0.500
```

Summary:
Magnetic moment = 0.00 μB/f.u.
ΔH_f (0 K) = 62 kJ/mol of atoms
Energy above the most stable polymorph in this dataset = 620.6 meV/atom
Raw total energy = -1.05 eV/atom

Entry 4:
Entry from Alexandria via LeMat-Bulk: RbSrBi after structural relaxation (PBE).

```
data_RbSrBi
_chemical_formula_sum 'Rb4 Sr4 Bi4'
_cell_length_a 9.615
_cell_length_b 5.654
_cell_length_c 9.961
_cell_angle_alpha 90.00
_cell_angle_beta 90.00
_cell_angle_gamma 90.00
_symmetry_space_group_name_H-M 'P n m a'
_symmetry_Int_Tables_number 62
loop_
_symmetry_equiv_pos_as_xyz
'x,y,z'
'-x,-y,-z'
'-x+1/2,-y,z+1/2'
'x+1/2,y,-z+1/2'
'x+1/2,-y+1/2,-z+1/2'
'-x+1/2,y+1/2,z+1/2'
'-x,y+1/2,-z'
'x,-y+1/2,z'
loop_
_atom_site_label
_atom_site_type_symbol
_atom_site_fract_x
_atom_site_fract_y
_atom_site_fract_z
Rb1 Rb 0.015 0.250 0.170
Sr1 Sr 0.147 0.250 0.578
Bi1 Bi 0.208 0.750 0.392
```

Summary:
Magnetic moment = 0.00 μB/f.u.
ΔH_f (0 K) = -66 kJ/mol of atoms
Raw total energy = -2.86 eV/atom

Entry 5:
Entry from Alexandria via LeMat-Bulk: RbSrBi2 after structural relaxation (PBE).

```
data_RbSrBi2
_chemical_formula_sum 'Rb4 Sr4 Bi8'
_cell_length_a 8.484
_cell_length_b 8.484
_cell_length_c 8.484
_cell_angle_alpha 90.00
_cell_angle_beta 90.00
_cell_angle_gamma 90.00
_symmetry_space_group_name_H-M 'F m -3 m'
_symmetry_Int_Tables_number 225
_symmetry_space_group_name_Hall '-F 4 2 3'
loop_
_atom_site_label
_atom_site_type_symbol
_atom_site_fract_x
_atom_site_fract_y
_atom_site_fract_z
Rb1 Rb 0.000 0.000 0.000
Sr1 Sr 0.000 0.000 0.500
Bi1 Bi 0.250 0.250 0.250
```

Summary:
Magnetic moment = 0.00 μB/f.u.
ΔH_f (0 K) = -36 kJ/mol of atoms
Energy above the most stable polymorph in this dataset = 200.9 meV/atom
Raw total energy = -2.97 eV/atom

Entry 6:
Entry from Alexandria via LeMat-Bulk: RbSrBi2 after structural relaxation (PBE).

```
data_RbSrBi2
_chemical_formula_sum 'Rb4 Sr4 Bi8'
_cell_length_a 6.026
_cell_length_b 6.026
_cell_length_c 22.381
_cell_angle_alpha 90.00
_cell_angle_beta 90.00
_cell_angle_gamma 90.00
_symmetry_space_group_name_H-M 'I -4 2 d'
_symmetry_Int_Tables_number 122
_symmetry_space_group_name_Hall 'I -4 2bw'
loop_
_atom_site_label
_atom_site_type_symbol
_atom_site_fract_x
_atom_site_fract_y
_atom_site_fract_z
Rb1 Rb 0.000 0.000 0.000
Sr1 Sr 0.000 0.000 0.500
Bi1 Bi 0.129 0.250 0.625
```

Summary:
Magnetic moment = 0.00 μB/f.u.
ΔH_f (0 K) = -27 kJ/mol of atoms
Energy above the most stable polymorph in this dataset = 293.0 meV/atom
Raw total energy = -2.88 eV/atom

Entry 7:
Entry from Alexandria via LeMat-Bulk: RbSrBi2 after structural relaxation (PBE).

```
data_RbSrBi2
_chemical_formula_sum 'Rb1 Sr1 Bi2'
_cell_length_a 4.543
_cell_length_b 4.543
_cell_length_c 8.032
_cell_angle_alpha 90.00
_cell_angle_beta 90.00
_cell_angle_gamma 90.00
_symmetry_space_group_name_H-M 'P 4/m m m'
_symmetry_Int_Tables_number 123
_symmetry_space_group_name_Hall '-P 4 2'
loop_
_atom_site_label
_atom_site_type_symbol
_atom_site_fract_x
_atom_site_fract_y
_atom_site_fract_z
Rb1 Rb 0.000 0.000 0.000
Sr1 Sr 0.000 0.000 0.500
Bi1 Bi 0.500 0.500 0.312
```

Summary:
Magnetic moment = 0.00 μB/f.u.
ΔH_f (0 K) = -55 kJ/mol of atoms
Energy above the most stable polymorph in this dataset = 0.0 meV/atom
Raw total energy = -3.17 eV/atom

Entry 8:
Entry from Alexandria via LeMat-Bulk: RbSrBi2 after structural relaxation (PBE).

```
data_RbSrBi2
_chemical_formula_sum 'Rb1 Sr1 Bi2'
_cell_length_a 5.351
_cell_length_b 5.351
_cell_length_c 5.101
_cell_angle_alpha 90.00
_cell_angle_beta 90.00
_cell_angle_gamma 90.00
_symmetry_space_group_name_H-M 'P 4/m m m'
_symmetry_Int_Tables_number 123
_symmetry_space_group_name_Hall '-P 4 2'
loop_
_atom_site_label
_atom_site_type_symbol
_atom_site_fract_x
_atom_site_fract_y
_atom_site_fract_z
Rb1 Rb 0.000 0.000 0.000
Sr1 Sr 0.500 0.500 0.000
Bi1 Bi 0.000 0.500 0.500
```

Summary:
Magnetic moment = 0.00 μB/f.u.
ΔH_f (0 K) = -45 kJ/mol of atoms
Energy above the most stable polymorph in this dataset = 109.4 meV/atom
Raw total energy = -3.06 eV/atom

Entry 9:
Entry from Alexandria via LeMat-Bulk: Rb3SrBi after structural relaxation (PBE).

```
data_Rb3SrBi
_chemical_formula_sum 'Rb3 Sr1 Bi1'
_cell_length_a 7.226
_cell_length_b 7.226
_cell_length_c 7.226
_cell_angle_alpha 90.00
_cell_angle_beta 90.00
_cell_angle_gamma 90.00
_symmetry_space_group_name_H-M 'P m -3 m'
_symmetry_Int_Tables_number 221
_symmetry_space_group_name_Hall '-P 4 2 3'
loop_
_atom_site_label
_atom_site_type_symbol
_atom_site_fract_x
_atom_site_fract_y
_atom_site_fract_z
Rb1 Rb 0.000 0.000 0.500
Sr1 Sr 0.500 0.500 0.500
Bi1 Bi 0.000 0.000 0.000
```

Summary:
Magnetic moment = 0.00 μB/f.u.
ΔH_f (0 K) = 2 kJ/mol of atoms
Energy above the most stable polymorph in this dataset = 0.0 meV/atom
Raw total energy = -1.67 eV/atom

Entry 10:
Entry from Alexandria via LeMat-Bulk: RbSrTl4Bi2 after structural relaxation (PBE).

```
data_RbSrTl4Bi2
_chemical_formula_sum 'Rb1 Sr1 Tl4 Bi2'
_cell_length_a 4.739
_cell_length_b 4.739
_cell_length_c 14.074
_cell_angle_alpha 90.00
_cell_angle_beta 90.00
_cell_angle_gamma 90.00
_symmetry_space_group_name_H-M 'P 4/m m m'
_symmetry_Int_Tables_number 123
_symmetry_space_group_name_Hall '-P 4 2'
loop_
_atom_site_label
_atom_site_type_symbol
_atom_site_fract_x
_atom_site_fract_y
_atom_site_fract_z
Rb1 Rb 0.000 0.000 0.000
Sr1 Sr 0.000 0.000 0.500
Tl1 Tl 0.000 0.500 0.224
Bi1 Bi 0.500 0.500 0.385
```

Summary:
Magnetic moment = 0.00 μB/f.u.
ΔH_f (0 K) = -24 kJ/mol of atoms
Raw total energy = -2.74 eV/atom

Entry 11:
Entry from Alexandria via LeMat-Bulk: RbSrY2Bi after structural relaxation (PBE).

```
data_RbSrY2Bi
_chemical_formula_sum 'Rb1 Sr1 Y2 Bi1'
_cell_length_a 5.663
_cell_length_b 5.663
_cell_length_c 6.304
_cell_angle_alpha 90.00
_cell_angle_beta 90.00
_cell_angle_gamma 90.00
_symmetry_space_group_name_H-M 'P 4/m m m'
_symmetry_Int_Tables_number 123
_symmetry_space_group_name_Hall '-P 4 2'
loop_
_atom_site_label
_atom_site_type_symbol
_atom_site_fract_x
_atom_site_fract_y
_atom_site_fract_z
Rb1 Rb 0.000 0.000 0.000
Sr1 Sr 0.500 0.500 0.500
Y1 Y 0.000 0.500 0.000
Bi1 Bi 0.000 0.000 0.500
```

Summary:
Magnetic moment = 0.26 μB/f.u.
ΔH_f (0 K) = 85 kJ/mol of atoms
Raw total energy = -3.01 eV/atom

Entry 12:
Entry from Alexandria via LeMat-Bulk: RbSrZn2Bi2 after structural relaxation (PBE).

```
data_RbSrZn2Bi2
_chemical_formula_sum 'Rb1 Sr1 Zn2 Bi2'
_cell_length_a 4.8880
_cell_length_b 4.8880
_cell_length_c 9.9212
_cell_angle_alpha 90.00
_cell_angle_beta 90.00
_cell_angle_gamma 120.00
_symmetry_space_group_name_H-M 'P -3 m 1'
_symmetry_Int_Tables_number 164
_symmetry_space_group_name_Hall '-P 3 2"'
loop_
_atom_site_label
_atom_site_type_symbol
_atom_site_fract_x
_atom_site_fract_y
_atom_site_fract_z
Rb1 Rb 0.0000 0.0000 0.0000
Sr1 Sr 0.0000 0.0000 0.5000
Zn1 Zn 0.3333 0.6667 0.6774
Bi1 Bi 0.3333 0.6667 0.2752
```

Summary:
Magnetic moment = 0.00 μB/f.u.
ΔH_f (0 K) = -36 kJ/mol of atoms
Raw total energy = -2.54 eV/atom

Entry 13:
Entry from Alexandria via LeMat-Bulk: RbTa3Bi after structural relaxation (PBE).

```
data_RbTa3Bi
_chemical_formula_sum 'Rb1 Ta3 Bi1'
_cell_length_a 4.918
_cell_length_b 4.918
_cell_length_c 4.918
_cell_angle_alpha 90.00
_cell_angle_beta 90.00
_cell_angle_gamma 90.00
_symmetry_space_group_name_H-M 'P m -3 m'
_symmetry_Int_Tables_number 221
_symmetry_space_group_name_Hall '-P 4 2 3'
loop_
_atom_site_label
_atom_site_type_symbol
_atom_site_fract_x
_atom_site_fract_y
_atom_site_fract_z
Rb1 Rb 0.000 0.000 0.000
Ta1 Ta 0.000 0.000 0.500
Bi1 Bi 0.500 0.500 0.500
```

Summary:
Magnetic moment = 0.00 μB/f.u.
ΔH_f (0 K) = 289 kJ/mol of atoms
Energy above the most stable polymorph in this dataset = 612.1 meV/atom
Raw total energy = -5.09 eV/atom

Entry 14:
Entry from Alexandria via LeMat-Bulk: RbTa3Bi after structural relaxation (PBE).

```
data_RbTa3Bi
_chemical_formula_sum 'Rb1 Ta3 Bi1'
_cell_length_a 5.351
_cell_length_b 5.351
_cell_length_c 5.351
_cell_angle_alpha 90.00
_cell_angle_beta 90.00
_cell_angle_gamma 90.00
_symmetry_space_group_name_H-M 'P m -3 m'
_symmetry_Int_Tables_number 221
_symmetry_space_group_name_Hall '-P 4 2 3'
loop_
_atom_site_label
_atom_site_type_symbol
_atom_site_fract_x
_atom_site_fract_y
_atom_site_fract_z
Rb1 Rb 0.000 0.000 0.000
Ta1 Ta 0.000 0.500 0.500
Bi1 Bi 0.500 0.500 0.500
```

Summary:
Magnetic moment = 0.00 μB/f.u.
ΔH_f (0 K) = 230 kJ/mol of atoms
Energy above the most stable polymorph in this dataset = 0.0 meV/atom
Raw total energy = -5.70 eV/atom

Entry 15:
Entry from Alexandria via LeMat-Bulk: RbTa2Bi after structural relaxation (PBE).

```
data_RbTa2Bi
_chemical_formula_sum 'Rb4 Ta8 Bi4'
_cell_length_a 8.668
_cell_length_b 8.668
_cell_length_c 6.058
_cell_angle_alpha 90.00
_cell_angle_beta 90.00
_cell_angle_gamma 90.00
_symmetry_space_group_name_H-M 'I -4 2 d'
_symmetry_Int_Tables_number 122
_symmetry_space_group_name_Hall 'I -4 2bw'
loop_
_atom_site_label
_atom_site_type_symbol
_atom_site_fract_x
_atom_site_fract_y
_atom_site_fract_z
Rb1 Rb 0.000 0.000 0.000
Ta1 Ta 0.201 0.750 0.625
Bi1 Bi 0.000 0.000 0.500
```

Summary:
Magnetic moment = 0.00 μB/f.u.
ΔH_f (0 K) = 173 kJ/mol of atoms
Raw total energy = -5.34 eV/atom

Entry 16:
Entry from Alexandria via LeMat-Bulk: Rb3TaBi after structural relaxation (PBE).

```
data_Rb3TaBi
_chemical_formula_sum 'Rb3 Ta1 Bi1'
_cell_length_a 7.068
_cell_length_b 7.068
_cell_length_c 7.068
_cell_angle_alpha 90.00
_cell_angle_beta 90.00
_cell_angle_gamma 90.00
_symmetry_space_group_name_H-M 'P m -3 m'
_symmetry_Int_Tables_number 221
_symmetry_space_group_name_Hall '-P 4 2 3'
loop_
_atom_site_label
_atom_site_type_symbol
_atom_site_fract_x
_atom_site_fract_y
_atom_site_fract_z
Rb1 Rb 0.000 0.000 0.500
Ta1 Ta 0.500 0.500 0.500
Bi1 Bi 0.000 0.000 0.000
```

Summary:
Magnetic moment = 3.00 μB/f.u.
ΔH_f (0 K) = 124 kJ/mol of atoms
Energy above the most stable polymorph in this dataset = 0.0 meV/atom
Raw total energy = -2.45 eV/atom

Entry 17:
Entry from Alexandria via LeMat-Bulk: RbYTaBi2 after structural relaxation (PBE).

```
data_RbYTaBi2
_chemical_formula_sum 'Rb1 Y1 Ta1 Bi2'
_cell_length_a 5.576
_cell_length_b 5.576
_cell_length_c 5.770
_cell_angle_alpha 90.00
_cell_angle_beta 90.00
_cell_angle_gamma 90.00
_symmetry_space_group_name_H-M 'P 4/m m m'
_symmetry_Int_Tables_number 123
_symmetry_space_group_name_Hall '-P 4 2'
loop_
_atom_site_label
_atom_site_type_symbol
_atom_site_fract_x
_atom_site_fract_y
_atom_site_fract_z
Rb1 Rb 0.000 0.000 0.000
Y1 Y 0.500 0.500 0.000
Ta1 Ta 0.000 0.000 0.500
Bi1 Bi 0.000 0.500 0.500
```

Summary:
Magnetic moment = 0.49 μB/f.u.
ΔH_f (0 K) = 86 kJ/mol of atoms
Raw total energy = -4.51 eV/atom

Entry 18:
Entry from Alexandria via LeMat-Bulk: RbTbBi after structural relaxation (PBE).

```
data_RbTbBi
_chemical_formula_sum 'Rb2 Tb2 Bi2'
_cell_length_a 4.339
_cell_length_b 4.339
_cell_length_c 14.510
_cell_angle_alpha 90.00
_cell_angle_beta 90.00
_cell_angle_gamma 90.00
_symmetry_space_group_name_H-M 'I 4 m m'
_symmetry_Int_Tables_number 107
_symmetry_space_group_name_Hall 'I 4 -2'
loop_
_atom_site_label
_atom_site_type_symbol
_atom_site_fract_x
_atom_site_fract_y
_atom_site_fract_z
Rb1 Rb 0.000 0.000 0.000
Tb1 Tb 0.000 0.000 0.266
Bi1 Bi 0.000 0.000 0.722
```

Summary:
Magnetic moment = 0.68 μB/f.u.
ΔH_f (0 K) = -28 kJ/mol of atoms
Raw total energy = -3.45 eV/atom

Entry 19:
Entry from Alexandria via LeMat-Bulk: RbTbBi after structural relaxation (PBE).

```
data_RbTbBi
_chemical_formula_sum 'Rb6 Tb6 Bi6'
_cell_length_a 5.1013
_cell_length_b 5.1013
_cell_length_c 41.0587
_cell_angle_alpha 90.00
_cell_angle_beta 90.00
_cell_angle_gamma 120.00
_symmetry_space_group_name_H-M 'R -3 m'
_symmetry_Int_Tables_number 166
_symmetry_space_group_name_Hall '-R 3 2"'
loop_
_atom_site_label
_atom_site_type_symbol
_atom_site_fract_x
_atom_site_fract_y
_atom_site_fract_z
Rb1 Rb 0.0000 0.0000 0.1132
Tb1 Tb 0.0000 0.0000 0.3054
Bi1 Bi 0.0000 0.0000 0.3860
```

Summary:
Magnetic moment = 0.00 μB/f.u.
ΔH_f (0 K) = -39 kJ/mol of atoms
Raw total energy = -3.57 eV/atom

Entry 20:
Entry from Alexandria via LeMat-Bulk: Rb3TbBi2Te6 after structural relaxation (PBE).

```
data_Rb3TbBi2Te6
_chemical_formula_sum 'Rb6 Tb2 Bi4 Te12'
_cell_length_a 7.982
_cell_length_b 13.825
_cell_length_c 8.968
_cell_angle_alpha 90.00
_cell_angle_beta 107.25
_cell_angle_gamma 90.00
_symmetry_space_group_name_H-M 'C 1 2/m 1'
_symmetry_Int_Tables_number 12
loop_
_symmetry_equiv_pos_as_xyz
'x,y,z'
'-x,-y,-z'
'-x,y,-z'
'x,-y,z'
'x+1/2,y+1/2,z'
'-x+1/2,-y+1/2,-z'
'-x+1/2,y+1/2,-z'
'x+1/2,-y+1/2,z'
loop_
_atom_site_label
_atom_site_type_symbol
_atom_site_fract_x
_atom_site_fract_y
_atom_site_fract_z
Rb1 Rb 0.000 0.000 0.000
Rb2 Rb 0.000 0.331 0.000
Tb1 Tb 0.000 0.500 0.500
Bi1 Bi 0.000 0.166 0.500
Te1 Te 0.231 0.335 0.701
Te2 Te 0.238 0.000 0.701
```

Summary:
Magnetic moment = 0.00 μB/f.u.
ΔE_f (raw) = -0.872 eV/atom
Raw total energy = -3.72 eV/atom